(1)
First-principles (PBE) data for a geometry-optimized HfCrTe2 structure, as listed in Alexandria via LeMat-Bulk.

```
HfCrTe2
1.0
3.3435 0.0000 0.0000
-1.6717 2.8955 0.0000
0.0000 0.0000 27.9902
Hf Cr Te
3 3 6
direct
0.0000 0.0000 0.0000
0.3333 0.6667 0.6667
0.6667 0.3333 0.3333
0.0000 0.0000 0.5000
0.3333 0.6667 0.1667
0.6667 0.3333 0.8333
0.0000 0.0000 0.1034
0.0000 0.0000 0.8966
0.3333 0.6667 0.5632
0.3333 0.6667 0.7701
0.6667 0.3333 0.2299
0.6667 0.3333 0.4368
```

Values from the calculation:
ΔE_f (raw) = 0.220 eV/atom
total moment = 0.0 μB per formula unit
calculated total energy = -6.245 eV per atom
distance to the lowest polymorph of the same formula = 274 meV per atom

---

(2)
First-principles (PBE) data for a geometry-optimized HfCr3Te structure, as listed in Alexandria via LeMat-Bulk.

```
HfCr3Te
1.0
4.8638 0.0000 0.0000
0.0000 4.8638 0.0000
0.0000 0.0000 4.8638
Hf Cr Te
1 3 1
direct
0.0000 0.0000 0.0000
0.0000 0.0000 0.5000
0.0000 0.5000 0.0000
0.5000 0.0000 0.0000
0.5000 0.5000 0.5000
```

Values from the calculation:
ΔE_f (raw) = 1.532 eV/atom
total moment = 9.8 μB per formula unit
calculated total energy = -6.861 eV per atom
distance to the lowest polymorph of the same formula = 68 meV per atom

---

(3)
First-principles (PBE) data for a geometry-optimized HfCr2Te structure, as listed in Alexandria via LeMat-Bulk.

```
HfCr2Te
1.0
4.0426 0.0000 0.0000
0.0000 4.0426 0.0000
0.0000 0.0000 18.3415
Hf Cr Te
4 8 4
direct
0.0000 0.0000 0.0000
0.0000 0.5000 0.2500
0.5000 0.0000 0.7500
0.5000 0.5000 0.5000
0.1564 0.2500 0.6250
0.2500 0.6564 0.8750
0.2500 0.8436 0.3750
0.3436 0.2500 0.1250
0.6564 0.7500 0.1250
0.7500 0.1564 0.3750
0.7500 0.3436 0.8750
0.8436 0.7500 0.6250
0.0000 0.0000 0.5000
0.0000 0.5000 0.7500
0.5000 0.0000 0.2500
0.5000 0.5000 0.0000
```

Values from the calculation:
ΔE_f (raw) = 0.617 eV/atom
total moment = 0.0 μB per formula unit
calculated total energy = -7.468 eV per atom
distance to the lowest polymorph of the same formula = 386 meV per atom

---

(4)
First-principles (PBE) data for a geometry-optimized HfCrTe3 structure, as listed in Alexandria via LeMat-Bulk.

```
HfCrTe3
1.0
5.5334 0.0000 0.0000
0.0000 5.5334 0.0000
0.0000 0.0000 5.5334
Hf Cr Te
1 1 3
direct
0.0000 0.0000 0.0000
0.5000 0.5000 0.5000
0.0000 0.0000 0.5000
0.0000 0.5000 0.0000
0.5000 0.0000 0.0000
```

Values from the calculation:
ΔE_f (raw) = 0.260 eV/atom
total moment = 4.6 μB per formula unit
calculated total energy = -5.540 eV per atom
distance to the lowest polymorph of the same formula = 0 meV per atom